Entry from the Alexandria database: AcPuCrN3 after structural relaxation (PBE-GGA).

```
12
Lattice="6.567 -1.899 0.000 6.567 1.899 0.000 -1.978 0.000 7.013" Properties=species:S:1:pos:R:3 pbc="T T T"
Ac 1.708 0.000 0.511
Ac 9.447 0.000 6.502
Pu 0.826 0.000 3.998
Pu 10.330 0.000 3.015
Cr 5.975 0.000 2.069
Cr 5.180 0.000 4.943
N -0.535 0.000 2.011
N 3.150 0.000 4.472
N 4.134 0.000 1.408
N 7.021 0.000 5.604
N 8.005 0.000 2.541
N 11.691 0.000 5.001
```

* symmetry: C2/m
* energy relative to the elements, uncorrected: -1.003 eV per atom
* electronic total energy: -118.11 eV/cell

Entry from the Alexandria database: SrGaAg3 after structural relaxation (PBE-GGA).

```
5
Lattice="5.008 0.000 0.000 0.000 5.008 0.000 0.000 0.000 5.008" Properties=species:S:1:pos:R:3 pbc="T T T"
Sr 0.000 0.000 0.000
Ga 2.504 2.504 2.504
Ag 0.000 2.504 2.504
Ag 2.504 0.000 2.504
Ag 2.504 2.504 0.000
```

* symmetry: Pm-3m
* energy of formation from the pure elements: -0.105 eV/atom
* electronic total energy: -13.79 eV/cell
* energy above the most stable polymorph in this dataset: 125 meV per atom

Entry from the Alexandria database: Na3Be2O4 after structural relaxation (PBE-GGA).

```
18
Lattice="5.005 -3.759 0.000 5.005 3.759 0.000 -0.311 0.000 5.033" Properties=species:S:1:pos:R:3 pbc="T T T"
Na 4.772 3.017 3.775
Na 3.723 1.054 2.268
Na 6.132 1.054 0.249
Na 3.567 -1.054 4.784
Na 5.976 -1.054 2.766
Na 4.927 -3.017 1.258
Be 1.851 0.894 4.697
Be 2.007 -0.894 2.180
Be 7.692 0.894 2.853
Be 7.848 -0.894 0.336
O 1.634 0.381 3.143
O 3.394 1.473 4.953
O 1.789 -0.381 0.627
O 6.150 1.473 2.597
O 3.549 -1.473 2.436
O 7.910 0.381 4.407
O 6.305 -1.473 0.080
O 8.065 -0.381 1.890
```

* symmetry: C2/c
* energy relative to the elements, uncorrected: -1.850 eV per atom
* electronic total energy: -95.78 eV/cell
* energy above the most stable polymorph in this dataset: 0 meV per atom

Entry from the Alexandria database: SbMoCl2 after structural relaxation (PBE-GGA).

```
4
Lattice="1.713 0.989 8.737 -1.713 0.989 8.737 0.000 -1.978 8.737" Properties=species:S:1:pos:R:3 pbc="T T T"
Sb 0.000 0.000 0.000
Mo 0.000 0.000 6.750
Cl 0.000 0.000 13.981
Cl 0.000 0.000 19.551
```

* symmetry: R3m
* energy relative to the elements, uncorrected: -0.136 eV per atom
* electronic total energy: -19.19 eV/cell
* energy above the most stable polymorph in this dataset: 167 meV per atom

Entry from the Alexandria database: Cs3SCl after structural relaxation (PBE-GGA).

```
5
Lattice="6.653 0.000 0.000 0.000 6.653 0.000 0.000 0.000 6.653" Properties=species:S:1:pos:R:3 pbc="T T T"
Cs 0.000 0.000 3.327
Cs 0.000 3.327 0.000
Cs 3.327 0.000 0.000
S 0.000 0.000 0.000
Cl 3.327 3.327 3.327
```

* symmetry: Pm-3m
* energy relative to the elements, uncorrected: -1.199 eV per atom
* electronic total energy: -14.53 eV/cell
* energy above the most stable polymorph in this dataset: 131 meV per atom

Entry from the Alexandria database: Rb2SiBW after structural relaxation (PBE-GGA).

```
5
Lattice="6.835 0.000 0.000 0.000 6.835 0.000 0.000 0.000 4.798" Properties=species:S:1:pos:R:3 pbc="T T T"
Rb 0.000 3.417 0.000
Rb 3.417 0.000 0.000
Si 0.000 0.000 2.399
B 3.417 3.417 2.399
W 0.000 0.000 0.000
```

* symmetry: P4/mmm
* energy relative to the elements, uncorrected: 2.010 eV per atom
* electronic total energy: -16.94 eV/cell